# 1
Density functional theory data (PBE) for crystalline PmEr4Sc4 at its relaxed geometry.

Output
- SG = P4_2/nmc, No. 137
- excess energy over the best structure of this formula in the dataset (meV/atom) = 218
- DFT formation energy (meV per atom) = 270

Structure (POSCAR):
```
PmEr4Sc4
1.0
6.749 0.000 0.000
0.000 6.749 0.000
0.000 0.000 11.760
Pm Er Sc
2 8 8
Direct
0.250 0.750 0.250
0.750 0.250 0.750
0.009 0.250 0.024
0.250 0.009 0.524
0.250 0.491 0.524
0.491 0.250 0.024
0.509 0.750 0.976
0.750 0.509 0.476
0.750 0.991 0.476
0.991 0.750 0.976
0.032 0.250 0.307
0.250 0.032 0.807
0.250 0.468 0.807
0.468 0.250 0.307
0.532 0.750 0.693
0.750 0.532 0.193
0.750 0.968 0.193
0.968 0.750 0.693
```

=====

# 2
Density functional theory data (PBE) for crystalline Pm2Er15Sc2 at its relaxed geometry.

Output
- SG = R-3m, No. 166
- DFT formation energy (meV per atom) = 284

Structure (POSCAR):
```
Pm2Er15Sc2
1.0
5.546 3.202 5.729
-5.546 3.202 5.729
0.000 -6.404 5.729
Pm Er Sc
2 15 2
Direct
0.175 0.175 0.175
0.825 0.825 0.825
0.000 0.500 0.500
0.137 0.137 0.645
0.137 0.645 0.137
0.205 0.500 0.795
0.205 0.795 0.500
0.355 0.863 0.863
0.500 0.000 0.500
0.500 0.205 0.795
0.500 0.500 0.000
0.500 0.795 0.205
0.645 0.137 0.137
0.795 0.205 0.500
0.795 0.500 0.205
0.863 0.355 0.863
0.863 0.863 0.355
0.408 0.408 0.408
0.592 0.592 0.592
```

=====

In the order shown, the computed total moment values come out to 0.0 2.7 μB/f.u..
In the order shown, the computed Fermi-level density of states values come out to 32.22 36.41 states/eV per cell.
In the order shown, the computed raw total energy values come out to -5.099 -4.485 eV/atom.